Entry 1:
Compound: Sc2AlFe2Co5
Source: Alexandria via LeMat-Bulk
Functional: PBE
Structure: optimized geometry

## Properties
Its energy of formation is -0.157 eV/atom.

Cell: 8.5501 8.5501 3.6641 Å, 90.00 90.00 90.00°
Fractional coordinates of all 20 atoms:
Sc 0.1792 0.3208 0.0000
Sc 0.3208 0.8208 0.0000
Sc 0.6792 0.1792 0.0000
Sc 0.8208 0.6792 0.0000
Al 0.0000 0.0000 0.0000
Al 0.5000 0.5000 0.0000
Fe 0.1187 0.6187 0.0000
Fe 0.3813 0.1187 0.0000
Fe 0.6187 0.8813 0.0000
Fe 0.8813 0.3813 0.0000
Co 0.0000 0.5000 0.5000
Co 0.0611 0.7960 0.5000
Co 0.2040 0.0611 0.5000
Co 0.2960 0.5611 0.5000
Co 0.4389 0.2960 0.5000
Co 0.5000 0.0000 0.5000
Co 0.5611 0.7040 0.5000
Co 0.7040 0.4389 0.5000
Co 0.7960 0.9389 0.5000
Co 0.9389 0.2040 0.5000



Entry 2:
Compound: CuIrCl
Source: Alexandria via LeMat-Bulk
Functional: PBE
Structure: optimized geometry

## Properties
The distance to the lowest polymorph of the same formula comes out at 0.251 eV per atom. The formation energy without anion corrections comes out at 72 kJ per mole of atoms.

Cell: 4.2433 4.2433 2.8709 Å, 90.00 90.00 120.00°
Fractional coordinates of all 3 atoms:
Cu 0.0000 0.0000 0.0000
Ir 0.6667 0.3333 0.5000
Cl 0.3333 0.6667 0.5000



Entry 3:
Compound: Sc2MoAu
Source: Alexandria via LeMat-Bulk
Functional: PBE
Structure: optimized geometry

## Properties
The distance to the lowest polymorph of the same formula comes out at 0.249 eV per atom. Its energy of formation is 0.003 eV/atom.

Cell: 2.9475 2.9475 9.0197 Å, 90.00 90.00 90.00°
Fractional coordinates of all 4 atoms:
Sc 0.0000 0.0000 0.0000
Sc 0.5000 0.5000 0.3068
Mo 0.5000 0.5000 0.7633
Au 0.0000 0.0000 0.5351



Entry 4:
Compound: CsLiBr2
Source: Alexandria via LeMat-Bulk
Functional: PBE
Structure: optimized geometry

## Properties
The formation energy without anion corrections comes out at -155 kJ per mole of atoms.

Cell: 8.1520 8.1520 4.7490 Å, 94.34 94.34 30.31°
Fractional coordinates of all 4 atoms:
Cs 0.0000 0.0000 0.0000
Li 0.7611 0.7611 0.4634
Br 0.3473 0.3473 0.4494
Br 0.6104 0.6104 0.5293



Entry 5:
Compound: Ta2Hg2P
Source: Alexandria via LeMat-Bulk
Functional: PBE
Structure: optimized geometry

## Properties
The distance to the lowest polymorph of the same formula comes out at 0.857 eV per atom. Its energy of formation is 0.856 eV/atom.

Cell: 7.8971 7.8971 7.8971 Å, 152.29 152.29 39.59°
Fractional coordinates of all 5 atoms:
Ta 0.2500 0.7500 0.5000
Ta 0.7500 0.2500 0.5000
Hg 0.0947 0.0947 0.0000
Hg 0.9053 0.9053 0.0000
P 0.5000 0.5000 0.0000



Entry 6:
Compound: BaLi2HgPd
Source: Alexandria via LeMat-Bulk
Functional: PBE
Structure: optimized geometry

## Properties
Its energy of formation is -0.275 eV/atom.

Cell: 4.9708 4.9708 5.4097 Å, 90.00 90.00 90.00°
Fractional coordinates of all 5 atoms:
Ba 0.0000 0.0000 0.0000
Li 0.0000 0.5000 0.5000
Li 0.5000 0.0000 0.5000
Hg 0.5000 0.5000 0.0000
Pd 0.5000 0.5000 0.5000



Entry 7:
Compound: ErAl4Pd2
Source: Alexandria via LeMat-Bulk
Functional: PBE
Structure: optimized geometry

## Properties
The distance to the lowest polymorph of the same formula comes out at 0.000 eV per atom. Its energy of formation is -0.752 eV/atom.

Cell: 17.1662 4.2999 6.6062 Å, 90.00 90.00 90.00°
Fractional coordinates of all 28 atoms:
Er 0.1401 0.2500 0.0142
Er 0.3599 0.7500 0.5142
Er 0.6401 0.2500 0.4858
Er 0.8599 0.7500 0.9858
Al 0.0356 0.7500 0.8388
Al 0.0691 0.2500 0.4916
Al 0.1872 0.7500 0.3214
Al 0.1927 0.7500 0.7270
Al 0.3073 0.2500 0.2270
Al 0.3128 0.2500 0.8214
Al 0.4309 0.7500 0.9916
Al 0.4644 0.2500 0.3388
Al 0.5356 0.7500 0.6612
Al 0.5691 0.2500 0.0084
Al 0.6872 0.7500 0.1786
Al 0.6927 0.7500 0.7730
Al 0.8073 0.2500 0.2730
Al 0.8128 0.2500 0.6786
Al 0.9309 0.7500 0.5084
Al 0.9644 0.2500 0.1612
Pd 0.0389 0.7500 0.2409
Pd 0.2152 0.2500 0.5268
Pd 0.2848 0.7500 0.0268
Pd 0.4611 0.2500 0.7409
Pd 0.5389 0.7500 0.2591
Pd 0.7152 0.2500 0.9732
Pd 0.7848 0.7500 0.4732
Pd 0.9611 0.2500 0.7591



Entry 8:
Compound: MgZnIrO6
Source: Alexandria via LeMat-Bulk
Functional: PBE
Structure: optimized geometry

## Properties
The formation energy without anion corrections comes out at -101 kJ per mole of atoms.

Cell: 5.1239 5.1239 8.7455 Å, 90.00 90.00 120.00°
Fractional coordinates of all 18 atoms:
Mg 0.3333 0.6667 0.2500
Mg 0.6667 0.3333 0.7500
Zn 0.0000 0.0000 0.0000
Zn 0.0000 0.0000 0.5000
Ir 0.3333 0.6667 0.7500
Ir 0.6667 0.3333 0.2500
O 0.0225 0.3617 0.6283
O 0.0225 0.6608 0.8717
O 0.3392 0.3617 0.8717
O 0.3392 0.9775 0.6283
O 0.3617 0.0225 0.1283
O 0.3617 0.3392 0.3717
O 0.6383 0.6608 0.6283
O 0.6383 0.9775 0.8717
O 0.6608 0.0225 0.3717
O 0.6608 0.6383 0.1283
O 0.9775 0.3392 0.1283
O 0.9775 0.6383 0.3717